1.
Computed, not measured: a relaxed La2PmTl2Ag2 crystal at the PBE level of DFT.

```
La2PmTl2Ag2
1.0
4.975 0.000 0.000
2.488 4.308 0.000
2.488 1.436 9.240
La Pm Tl Ag
2 1 2 2
Direct
0.126 0.126 0.623
0.874 0.874 0.377
0.000 0.000 0.000
0.736 0.736 0.793
0.264 0.264 0.207
0.607 0.607 0.178
0.393 0.393 0.822
```

Properties
The total DFT energy (no corrections) comes out at -26.691 eV for the cell shown. The calculation puts the density of states at the Fermi level at 5.880 states/eV/f.u. The calculation puts the total magnetic moment at 0.0 Bohr magnetons per cell.

---

2.
Computed, not measured: a relaxed BaZr3Sc crystal at the PBE level of DFT.

```
BaZr3Sc
1.0
-1.190 -2.863 4.372
-4.325 -1.978 -2.472
2.934 -4.077 -1.871
Sc Ba Zr
1 1 3
Direct
0.000 0.000 0.000
0.500 0.500 0.500
0.000 0.500 0.000
0.000 0.000 0.500
0.500 0.000 0.000
```

Properties
The total DFT energy (no corrections) comes out at -29.121 eV for the cell shown. Its energy above the most stable polymorph in this dataset is 0.0 meV/atom. The calculation puts the density of states at the Fermi level at 13.330 states/eV/f.u. The calculation puts the total magnetic moment at 0.0 Bohr magnetons per cell.

---

3.
Computed, not measured: a relaxed CePuRh2 crystal at the PBE level of DFT.

```
CePuRh2
1.0
-3.097 -2.101 -0.982
2.423 -2.898 -1.440
1.611 -1.347 5.419
Ce Pu Rh
1 1 2
Direct
0.722 0.000 0.984
0.446 0.500 0.432
0.177 0.500 0.893
0.985 0.000 0.510
```

Properties
The total DFT energy (no corrections) comes out at -37.447 eV for the cell shown. The calculation puts the density of states at the Fermi level at 11.065 states/eV/f.u. The calculation puts the total magnetic moment at 5.5 Bohr magnetons per cell.

---

4.
Computed, not measured: a relaxed NaLiSb2Te crystal at the PBE level of DFT.

```
NaLiSb2Te
1.0
-4.423 3.126 -0.494
-2.552 -4.024 -2.622
-1.941 -1.970 4.913
Sb Te Li Na
2 1 1 1
Direct
0.000 0.500 0.000
0.500 0.000 0.000
0.000 0.000 0.500
0.500 0.500 0.500
0.000 0.000 0.000
```

Properties
The total DFT energy (no corrections) comes out at -12.466 eV for the cell shown. Its energy above the most stable polymorph in this dataset is 445.1 meV/atom. The calculation puts the density of states at the Fermi level at 3.475 states/eV/f.u. The calculation puts the total magnetic moment at 0.0 Bohr magnetons per cell.